(1)
# TbGe

An optimized crystal structure of TbGe (PBE-GGA, Alexandria).

Lattice parameters (Å, degrees): 4.1407 4.1407 21.6684 90.00 90.00 90.00
With the nearest neighbours (Å) after each atom.
Space group I4_1/amd (No. 141, origin choice 2)
Unique sites:
Tb (0.0000, 0.2500, 0.0690)  7 Ge 2.98-3.18
Ge (0.0000, 0.2500, 0.2075)  2 Ge 2.77, 5 Tb 2.98-3.00

(2)
# Tb2Ge

An optimized crystal structure of Tb2Ge (PBE-GGA, Alexandria).

Lattice parameters (Å, degrees): 3.8947 3.8947 9.7434 90.00 90.00 90.00
With the nearest neighbours (Å) after each atom.
Space group I4/mmm (No. 139)
Unique sites:
Tb (0.0000, 0.0000, 0.1509)  1 Tb 2.94, 4 Ge 3.12
Ge (0.0000, 0.0000, 0.5000)  10 Tb 3.12-3.40

(3)
# TbGe3

An optimized crystal structure of TbGe3 (PBE-GGA, Alexandria).

Lattice parameters (Å, degrees): 4.1002 4.1002 9.7668 90.00 90.00 90.00
With the nearest neighbours (Å) after each atom.
Space group I4/mmm (No. 139)
Unique sites:
Tb (0.0000, 0.0000, 0.0000)  12 Ge 2.90-3.19
Ge (0.0000, 0.0000, 0.5000)  4 Tb 2.90, 8 Ge 3.19
Ge (0.0000, 0.5000, 0.2500)  8 Ge 2.90-3.19, 4 Tb 3.19

In μB per formula unit, the total moment values for the records above are, in order, 0.0 0.6 0.0.
In eV/atom, the formation energy values for the records above are, in order, -0.856 -0.407 -0.348.